No. 1
A geometry-optimized NiHgPb2 structure. Source: Alexandria, functional GGA-PBE.

Structure (extended XYZ):
```
4
Lattice="5.187 0.000 0.000 0.000 3.607 0.000 -2.579 0.000 5.572" Properties=species:S:1:pos:R:3 pbc="T T T"
Ni 0.000 0.000 0.000
Hg 2.589 1.803 3.626
Pb -0.006 1.803 1.975
Pb 2.593 0.000 0.306
```

Calculated values
Total magnetic moment   0.00 μB/f.u.
Formation enthalpy at 0 K   165 meV/atom
Theoretical density   10.73 Mg/m³

No. 2
A geometry-optimized Ru2PbCl structure. Source: Alexandria, functional GGA-PBE.

Structure (extended XYZ):
```
4
Lattice="1.576 0.910 8.098 -1.576 0.910 8.098 0.000 -1.820 8.098" Properties=species:S:1:pos:R:3 pbc="T T T"
Ru 0.000 0.000 5.971
Ru 0.000 0.000 18.324
Pb 0.000 0.000 0.000
Cl 0.000 0.000 12.147
```

Calculated values
Total magnetic moment   0.01 μB/f.u.
Energy relative to the elements, uncorrected   0.68 eV per atom
Theoretical density   10.60 Mg/m³
Polymorph energy (0 for the lowest one)   0.516 eV per atom

No. 3
A geometry-optimized KScCl3 structure. Source: Alexandria, functional GGA-PBE.

Structure (extended XYZ):
```
5
Lattice="5.110 0.000 0.000 0.000 5.110 0.000 0.000 0.000 5.110" Properties=species:S:1:pos:R:3 pbc="T T T"
K 0.000 0.000 0.000
Sc 2.555 2.555 2.555
Cl 0.000 2.555 2.555
Cl 2.555 0.000 2.555
Cl 2.555 2.555 0.000
```

Calculated values
Total magnetic moment   0.49 μB/f.u.
Energy relative to the elements, uncorrected   -1.86 eV per atom
Theoretical density   2.37 Mg/m³